# K2YP

A relaxed K2YP crystal (PBE, Alexandria via LeMat-Bulk).

```
K2YP
1.0
-0.3003 2.8675 -1.7474
-2.4428 -1.3903 -1.8617
-8.2420 3.9360 7.8753
K Y P
2 1 1
direct
0.0000 0.0000 0.8177
0.0000 0.0000 0.1823
0.5000 0.5000 0.5000
0.5000 0.5000 0.0000
```

Properties
- Space-group type: P4/mmm
- Calculated formation energy: 0.346 eV/atom